[1]
Zr3TiO (PBE, relaxed); raw formation energy = -1046 meV/atom; total DFT energy (no corrections) = -8.75 eV/atom; E above lowest polymorph = 0.00 eV/f.u.
1.0
4.497 0.000 0.000
0.000 4.497 0.000
0.000 0.000 4.497
Zr Ti O
3 1 1
direct
0.000 0.000 0.500 Zr
0.000 0.500 0.000 Zr
0.500 0.000 0.000 Zr
0.500 0.500 0.500 Ti
0.000 0.000 0.000 O

---

[2]
Ag2SbHPb (PBE, relaxed); total DFT energy (no corrections) = -2.84 eV/atom
1.0
5.459 0.000 0.000
0.000 5.459 0.000
0.000 0.000 3.843
Ag Sb H Pb
2 1 1 1
direct
0.000 0.500 0.000 Ag
0.500 0.000 0.000 Ag
0.000 0.000 0.500 Sb
0.500 0.500 0.500 H
0.500 0.500 0.000 Pb

---

[3]
BaCaNdIn (PBE, relaxed); total DFT energy (no corrections) = -2.97 eV/atom; energy of formation from the pure elements = -111.7 meV/atom
1.0
0.000 4.174 4.174
4.174 0.000 4.174
4.174 4.174 0.000
Ba Ca Nd In
1 1 1 1
direct
0.000 0.000 0.000 Ba
0.750 0.750 0.750 Ca
0.500 0.500 0.500 Nd
0.250 0.250 0.250 In

---

[4]
Mg5Cd2Bi3 (PBE, relaxed); total DFT energy (no corrections) = -2.23 eV/atom; energy of formation from the pure elements = -88.1 meV/atom
1.0
2.453 -16.908 0.000
2.453 16.908 0.000
0.000 0.000 6.344
Mg Cd Bi
10 4 6
direct
0.039 0.961 0.500 Mg
0.136 0.864 0.399 Mg
0.304 0.696 0.749 Mg
0.312 0.688 0.250 Mg
0.390 0.610 0.569 Mg
0.610 0.390 0.069 Mg
0.688 0.312 0.750 Mg
0.696 0.304 0.249 Mg
0.864 0.136 0.899 Mg
0.961 0.039 0.000 Mg
0.165 0.835 0.971 Cd
0.492 0.508 0.712 Cd
0.508 0.492 0.212 Cd
0.835 0.165 0.471 Cd
0.054 0.946 0.002 Bi
0.223 0.777 0.530 Bi
0.400 0.600 0.078 Bi
0.600 0.400 0.578 Bi
0.777 0.223 0.030 Bi
0.946 0.054 0.502 Bi

---

no.,total magnetization (μB/f.u.),density of states at the Fermi level (states/eV/cell)
1,0.00,4.579
2,0.00,1.841
3,0.00,4.252
4,0.00,5.141